[1]
A relaxed structure of BeNi2Sb. Source: the Alexandria database, functional PBEsol.

For the energy relative to the elements, uncorrected, the calculation gives -11.6 kJ/mol of atoms. The value obtained for the volume is 195.5 Å³ per cell. The offset from the most stable computed form is 0 meV per atom. The calculation puts the uncorrected energy at -5.34 eV/atom. The value obtained for the size of the total moment is 0.0 μB/f.u.

The space group is Fm-3m (No. 225) and the conventional cell measures 5.804, 5.804 and 5.804 Å, with angles of 90.00, 90.00 and 90.00 degrees. The distinct sites, in fractional coordinates, are Be at (0.000, 0.000, 0.000), Ni at (0.250, 0.250, 0.250) and Sb at (0.000, 0.000, 0.500).

[2]
A relaxed structure of RbAl2Pt. Source: the Alexandria database, functional PBEsol.

The value obtained for the volume is 531.6 Å³ per cell. The calculation puts the uncorrected energy at -4.21 eV/atom. The value obtained for the size of the total moment is 0.0 μB/f.u.

The space group is I4_1/amd (No. 141, origin choice 2) and the conventional cell measures 6.154, 6.154 and 14.038 Å, with angles of 90.00, 90.00 and 90.00 degrees. The distinct sites, in fractional coordinates, are Rb at (0.000, 0.250, 0.375), Al at (0.000, 0.000, 0.000) and Pt at (0.000, 0.250, 0.875).

[3]
A relaxed structure of TlCdO2. Source: the Alexandria database, functional PBEsol.

For the energy relative to the elements, uncorrected, the calculation gives -73.2 kJ/mol of atoms. The value obtained for the volume is 281.0 Å³ per cell. The calculation puts the uncorrected energy at -4.34 eV/atom. The value obtained for the size of the total moment is 0.0 μB/f.u.

The space group is I-42d (No. 122) and the conventional cell measures 5.205, 5.205 and 10.373 Å, with angles of 90.00, 90.00 and 90.00 degrees. The distinct sites, in fractional coordinates, are Tl at (0.000, 0.000, 0.000), Cd at (0.000, 0.000, 0.500) and O at (0.240, 0.250, 0.625).

[4]
A relaxed structure of CaCrRu2Cl. Source: the Alexandria database, functional PBEsol.

For the energy relative to the elements, uncorrected, the calculation gives 229.4 kJ/mol of atoms. The value obtained for the volume is 117.4 Å³ per cell. The calculation puts the uncorrected energy at -4.57 eV/atom. The value obtained for the size of the total moment is 8.4 μB/f.u.

The space group is P4/mmm (No. 123) and the conventional cell measures 4.660, 4.660 and 5.404 Å, with angles of 90.00, 90.00 and 90.00 degrees. The distinct sites, in fractional coordinates, are Ca at (0.000, 0.000, 0.000), Cr at (0.000, 0.000, 0.500), Ru at (0.000, 0.500, 0.000) and Cl at (0.500, 0.500, 0.500).

Question: Which of these has the lowest volume?
Answer: CaCrRu2Cl

Question: Look up the volume of the fourth one.
Answer: 117.4 Å³ per cell

Question: What is the formula in the third record?
Answer: TlCdO2